[1]
This record from Alexandria via LeMat-Bulk describes a relaxed structure of SrMnS. The functional is GGA-PBE.

## Properties
The energy relative to the elements, uncorrected comes out at -664 meV/atom. For the distance to the lowest polymorph of the same formula, the calculation gives 204 meV/atom. The density of states at the Fermi level comes out at 2.8 states/eV/f.u. The calculation puts the density at 3.9 Mg/m³.

CIF file:
```
data_SrMnS
_chemical_formula_sum 'Sr4 Mn4 S4'
_cell_length_a 16.8460
_cell_length_b 3.9089
_cell_length_c 4.5082
_cell_angle_alpha 90.00
_cell_angle_beta 97.59
_cell_angle_gamma 90.00
_symmetry_space_group_name_H-M 'C 1 m 1'
_symmetry_Int_Tables_number 8
_symmetry_space_group_name_Hall 'C -2y'
loop_
_atom_site_label
_atom_site_type_symbol
_atom_site_fract_x
_atom_site_fract_y
_atom_site_fract_z
Sr1 Sr 0.0000 0.0000 0.0000
Sr2 Sr 0.1947 0.0000 0.6006
Mn1 Mn 0.3013 0.5000 0.1481
Mn2 Mn 0.3975 0.0000 0.4540
S1 S 0.0463 0.5000 0.5182
S2 S 0.3617 0.0000 0.9313
```


[2]
This record from Alexandria via LeMat-Bulk describes a relaxed structure of LiGaAgBi. The functional is GGA-PBE.

## Properties
The density of states at the Fermi level comes out at 1.3 states/eV/f.u. For the formation energy, the calculation gives -115 meV/atom. The calculation puts the density at 7.7 Mg/m³.

CIF file:
```
data_LiGaAgBi
_chemical_formula_sum 'Li4 Ga4 Ag4 Bi4'
_cell_length_a 6.9898
_cell_length_b 6.9898
_cell_length_c 6.9898
_cell_angle_alpha 90.00
_cell_angle_beta 90.00
_cell_angle_gamma 90.00
_symmetry_space_group_name_H-M 'F -4 3 m'
_symmetry_Int_Tables_number 216
_symmetry_space_group_name_Hall 'F -4 2 3'
loop_
_atom_site_label
_atom_site_type_symbol
_atom_site_fract_x
_atom_site_fract_y
_atom_site_fract_z
Li1 Li 0.0000 0.0000 0.0000
Ga1 Ga 0.2500 0.2500 0.2500
Ag1 Ag 0.0000 0.0000 0.5000
Bi1 Bi 0.2500 0.2500 0.7500
```


[3]
This record from Alexandria via LeMat-Bulk describes a relaxed structure of Tb5SiBi4. The functional is GGA-PBE.

## Properties
The energy relative to the elements, uncorrected comes out at -787 meV/atom. The density of states at the Fermi level comes out at 3.5 states/eV/f.u. The calculation puts the density at 9.0 Mg/m³.

CIF file:
```
data_Tb5SiBi4
_chemical_formula_sum 'Tb10 Si2 Bi8'
_cell_length_a 9.8872
_cell_length_b 9.8872
_cell_length_c 6.2646
_cell_angle_alpha 90.00
_cell_angle_beta 90.00
_cell_angle_gamma 90.00
_symmetry_space_group_name_H-M 'I 4/m'
_symmetry_Int_Tables_number 87
_symmetry_space_group_name_Hall '-I 4'
loop_
_atom_site_label
_atom_site_type_symbol
_atom_site_fract_x
_atom_site_fract_y
_atom_site_fract_z
Tb1 Tb 0.0000 0.0000 0.0000
Tb2 Tb 0.0973 0.7193 0.5000
Si1 Si 0.0000 0.0000 0.5000
Bi1 Bi 0.0925 0.6956 0.0000
```


[4]
This record from Alexandria via LeMat-Bulk describes a relaxed structure of Pm2Ga8Pd. The functional is GGA-PBE.

## Properties
The density of states at the Fermi level comes out at 5.5 states/eV/f.u. For the formation energy, the calculation gives -525 meV/atom. The calculation puts the density at 7.3 Mg/m³.

CIF file:
```
data_Pm2Ga8Pd
_chemical_formula_sum 'Pm2 Ga8 Pd1'
_cell_length_a 4.3821
_cell_length_b 4.3821
_cell_length_c 11.3369
_cell_angle_alpha 90.00
_cell_angle_beta 90.00
_cell_angle_gamma 90.00
_symmetry_space_group_name_H-M 'P 4/m m m'
_symmetry_Int_Tables_number 123
_symmetry_space_group_name_Hall '-P 4 2'
loop_
_atom_site_label
_atom_site_type_symbol
_atom_site_fract_x
_atom_site_fract_y
_atom_site_fract_z
Pm1 Pm 0.0000 0.0000 0.1917
Ga1 Ga 0.0000 0.5000 0.0000
Ga2 Ga 0.0000 0.5000 0.3772
Ga3 Ga 0.5000 0.5000 0.1922
Pd1 Pd 0.0000 0.0000 0.5000
```


[5]
This record from Alexandria via LeMat-Bulk describes a relaxed structure of CaPm3Pt3. The functional is GGA-PBE.

## Properties
The density of states at the Fermi level comes out at 4.1 states/eV/f.u. For the formation energy, the calculation gives -891 meV/atom. The calculation puts the density at 9.7 Mg/m³.

CIF file:
```
data_CaPm3Pt3
_chemical_formula_sum 'Ca4 Pm12 Pt12'
_cell_length_a 9.9372
_cell_length_b 10.2628
_cell_length_c 7.1334
_cell_angle_alpha 90.00
_cell_angle_beta 94.20
_cell_angle_gamma 90.00
_symmetry_space_group_name_H-M 'C 1 2/m 1'
_symmetry_Int_Tables_number 12
_symmetry_space_group_name_Hall '-C 2y'
loop_
_atom_site_label
_atom_site_type_symbol
_atom_site_fract_x
_atom_site_fract_y
_atom_site_fract_z
Ca1 Ca 0.2493 0.0000 0.4492
Pm1 Pm 0.0000 0.1909 0.0000
Pm2 Pm 0.0000 0.2478 0.5000
Pm3 Pm 0.1983 0.5000 0.0309
Pt1 Pt 0.0480 0.0000 0.7111
Pt2 Pt 0.2438 0.2521 0.7698
```


[6]
This record from Alexandria via LeMat-Bulk describes a relaxed structure of ThAgBr. The functional is GGA-PBE.

## Properties
The energy relative to the elements, uncorrected comes out at -418 meV/atom. The density of states at the Fermi level comes out at 1.9 states/eV/f.u. The calculation puts the density at 7.7 Mg/m³.

CIF file:
```
data_ThAgBr
_chemical_formula_sum 'Th4 Ag4 Br4'
_cell_length_a 15.5742
_cell_length_b 3.6746
_cell_length_c 6.3656
_cell_angle_alpha 90.00
_cell_angle_beta 90.00
_cell_angle_gamma 90.00
_symmetry_space_group_name_H-M 'A m m 2'
_symmetry_Int_Tables_number 38
_symmetry_space_group_name_Hall 'A 2 -2'
loop_
_atom_site_label
_atom_site_type_symbol
_atom_site_fract_x
_atom_site_fract_y
_atom_site_fract_z
Th1 Th 0.1518 0.0000 0.0000
Ag1 Ag 0.0000 0.0000 0.6664
Ag2 Ag 0.5000 0.0000 0.6830
Br1 Br 0.2917 0.0000 0.6668
```


[7]
This record from Alexandria via LeMat-Bulk describes a relaxed structure of FeGeSN2. The functional is GGA-PBE.

## Properties
The energy relative to the elements, uncorrected comes out at 742 meV/atom. For the distance to the lowest polymorph of the same formula, the calculation gives 0 meV/atom. The density of states at the Fermi level comes out at 3.3 states/eV/f.u. The calculation puts the density at 4.8 Mg/m³.

CIF file:
```
data_FeGeSN2
_chemical_formula_sum 'Fe1 Ge1 S1 N2'
_cell_length_a 3.6273
_cell_length_b 3.6273
_cell_length_c 4.9346
_cell_angle_alpha 90.00
_cell_angle_beta 90.00
_cell_angle_gamma 90.00
_symmetry_space_group_name_H-M 'P 4/m m m'
_symmetry_Int_Tables_number 123
_symmetry_space_group_name_Hall '-P 4 2'
loop_
_atom_site_label
_atom_site_type_symbol
_atom_site_fract_x
_atom_site_fract_y
_atom_site_fract_z
Fe1 Fe 0.0000 0.0000 0.0000
Ge1 Ge 0.5000 0.5000 0.5000
S1 S 0.0000 0.0000 0.5000
N1 N 0.0000 0.5000 0.0000
```


[8]
This record from Alexandria via LeMat-Bulk describes a relaxed structure of Ba2PtS. The functional is GGA-PBE.

## Properties
The energy relative to the elements, uncorrected comes out at -1239 meV/atom. The density of states at the Fermi level comes out at 0.0 states/eV/f.u. The calculation puts the density at 7.2 Mg/m³.

CIF file:
```
data_Ba2PtS
_chemical_formula_sum 'Ba2 Pt1 S1'
_cell_length_a 3.8685
_cell_length_b 3.8685
_cell_length_c 7.7842
_cell_angle_alpha 90.00
_cell_angle_beta 90.00
_cell_angle_gamma 90.00
_symmetry_space_group_name_H-M 'P 4/m m m'
_symmetry_Int_Tables_number 123
_symmetry_space_group_name_Hall '-P 4 2'
loop_
_atom_site_label
_atom_site_type_symbol
_atom_site_fract_x
_atom_site_fract_y
_atom_site_fract_z
Ba1 Ba 0.0000 0.0000 0.2444
Pt1 Pt 0.5000 0.5000 0.5000
S1 S 0.5000 0.5000 0.0000
```


[9]
This record from Alexandria via LeMat-Bulk describes a relaxed structure of MoOs. The functional is GGA-PBE.

## Properties
The density of states at the Fermi level comes out at 2.5 states/eV/f.u. For the formation energy, the calculation gives 1840 meV/atom. The calculation puts the density at 8.2 Mg/m³.

CIF file:
```
data_MoOs
_chemical_formula_sum 'Mo8 Os8'
_cell_length_a 7.7527
_cell_length_b 7.7527
_cell_length_c 7.7527
_cell_angle_alpha 90.00
_cell_angle_beta 90.00
_cell_angle_gamma 90.00
_symmetry_space_group_name_H-M 'I -4 3 m'
_symmetry_Int_Tables_number 217
_symmetry_space_group_name_Hall 'I -4 2 3'
loop_
_atom_site_label
_atom_site_type_symbol
_atom_site_fract_x
_atom_site_fract_y
_atom_site_fract_z
Mo1 Mo 0.1399 0.1399 0.1399
Os1 Os 0.1736 0.1736 0.8264
```


[10]
This record from Alexandria via LeMat-Bulk describes a relaxed structure of Ac3Mg5In6. The functional is GGA-PBE.

## Properties
The density of states at the Fermi level comes out at 5.5 states/eV/f.u. For the formation energy, the calculation gives -332 meV/atom. The calculation puts the density at 6.3 Mg/m³.

CIF file:
```
data_Ac3Mg5In6
_chemical_formula_sum 'Ac6 Mg10 In12'
_cell_length_a 4.9160
_cell_length_b 14.3596
_cell_length_c 11.1138
_cell_angle_alpha 90.00
_cell_angle_beta 90.00
_cell_angle_gamma 90.00
_symmetry_space_group_name_H-M 'P m m n'
_symmetry_Int_Tables_number 59
loop_
_symmetry_equiv_pos_as_xyz
'x,y,z'
'-x,-y,-z'
'-x+1/2,-y+1/2,z'
'x+1/2,y+1/2,-z'
'x+1/2,-y,-z'
'-x+1/2,y,z'
'-x,y+1/2,-z'
'x,-y+1/2,z'
loop_
_atom_site_label
_atom_site_type_symbol
_atom_site_fract_x
_atom_site_fract_y
_atom_site_fract_z
Ac1 Ac 0.2500 0.0549 0.2504
Ac2 Ac 0.2500 0.7500 0.2450
Mg1 Mg 0.2500 0.0930 0.8873
Mg2 Mg 0.2500 0.6003 0.5200
Mg3 Mg 0.2500 0.7500 0.7458
In1 In 0.2500 0.0948 0.6282
In2 In 0.2500 0.2500 0.0564
In3 In 0.2500 0.2500 0.4444
In4 In 0.2500 0.6072 0.9704
```


[11]
This record from Alexandria via LeMat-Bulk describes a relaxed structure of Zn7Cu4Ni. The functional is GGA-PBE.

## Properties
The density of states at the Fermi level comes out at 2.6 states/eV/f.u. For the formation energy, the calculation gives -99 meV/atom. The calculation puts the density at 8.1 Mg/m³.

CIF file:
```
data_Zn7Cu4Ni
_chemical_formula_sum 'Zn7 Cu4 Ni1'
_cell_length_a 4.2008
_cell_length_b 4.2008
_cell_length_c 10.3193
_cell_angle_alpha 90.00
_cell_angle_beta 90.00
_cell_angle_gamma 120.00
_symmetry_space_group_name_H-M 'P -3 m 1'
_symmetry_Int_Tables_number 164
_symmetry_space_group_name_Hall '-P 3 2"'
loop_
_atom_site_label
_atom_site_type_symbol
_atom_site_fract_x
_atom_site_fract_y
_atom_site_fract_z
Zn1 Zn 0.0000 0.0000 0.0000
Zn2 Zn 0.0000 0.0000 0.2583
Zn3 Zn 0.3333 0.6667 0.1593
Zn4 Zn 0.3333 0.6667 0.4208
Cu1 Cu 0.3333 0.6667 0.6642
Cu2 Cu 0.3333 0.6667 0.9116
Ni1 Ni 0.0000 0.0000 0.5000
```


[12]
This record from Alexandria via LeMat-Bulk describes a relaxed structure of AlVNiOs. The functional is GGA-PBE.

## Properties
The density of states at the Fermi level comes out at 4.3 states/eV/f.u. For the formation energy, the calculation gives -394 meV/atom. The calculation puts the density at 10.4 Mg/m³.

CIF file:
```
data_AlVNiOs
_chemical_formula_sum 'Al4 V4 Ni4 Os4'
_cell_length_a 5.9409
_cell_length_b 5.9409
_cell_length_c 5.9409
_cell_angle_alpha 90.00
_cell_angle_beta 90.00
_cell_angle_gamma 90.00
_symmetry_space_group_name_H-M 'F -4 3 m'
_symmetry_Int_Tables_number 216
_symmetry_space_group_name_Hall 'F -4 2 3'
loop_
_atom_site_label
_atom_site_type_symbol
_atom_site_fract_x
_atom_site_fract_y
_atom_site_fract_z
Al1 Al 0.0000 0.0000 0.0000
V1 V 0.0000 0.0000 0.5000
Ni1 Ni 0.2500 0.2500 0.7500
Os1 Os 0.2500 0.2500 0.2500
```